{
  "formula": "LiGdYTl",
  "functional": "GGA-PBE",
  "state": "optimized geometry",
  "lattice": [[0.000, 3.754, 3.754], [3.754, 0.000, 3.754], [3.754, 3.754, 0.000]],
  "species": ["Li", "Gd", "Y", "Tl"],
  "fractional_positions": [[0.000, 0.000, 0.000], [0.250, 0.250, 0.250], [0.750, 0.750, 0.750], [0.500, 0.500, 0.500]],
  "e_tot_ev_per_atom": -6.431,
  "magmom_total_mub_per_cell": 7.8,
  "spacegroup": "F-43m"
}